Density functional theory data (GGA-PBE) for a geometry-optimized NpMnGa2 structure.

Properties
space group	P4/mmm, No. 123
total magnetization	0.321	μB per atom
energy of formation	0.025	eV/atom

Unit cell a=4.6298 b=3.9099 c=3.9099 alpha=90.00 beta=90.00 gamma=90.00
Last column: magnetic moment on the atom in μB.
Sites, in units of the cell vectors:
Np (0.5000, 0.0000, 0.0000)  3.61
Mn (0.5000, 0.5000, 0.5000)  -2.55
Ga (0.0000, 0.0000, 0.5000)  0.03
Ga (0.0000, 0.5000, 0.0000)  0.03

=====

Density functional theory data (GGA-PBE) for a geometry-optimized NpMnGa2 structure.

Properties
space group	R-3m, No. 166
total magnetization	1.390	μB per atom
energy of formation	-0.002	eV/atom

Unit cell a=2.8422 b=2.8422 c=9.6309 alpha=81.51 beta=81.51 gamma=60.00
Last column: magnetic moment on the atom in μB.
Sites, in units of the cell vectors:
Np (0.5000, 0.5000, 0.5000)  -2.70
Mn (0.0000, 0.0000, 0.0000)  -2.92
Ga (0.2601, 0.2601, 0.2197)  0.07
Ga (0.7399, 0.7399, 0.7803)  0.07

=====

Density functional theory data (GGA-PBE) for a geometry-optimized NpMn3Ga9 structure.

Properties
space group	C2/m, No. 12
total magnetization	0.813	μB per atom
energy of formation	-0.088	eV/atom

Unit cell a=5.1522 b=6.6956 c=6.9331 alpha=82.56 beta=68.19 gamma=69.61
Last column: magnetic moment on the atom in μB.
Sites, in units of the cell vectors:
Np (0.0000, 0.0000, 0.0000)  3.82
Mn (0.5000, 0.5000, 0.0000)  2.34
Mn (0.0000, 0.0000, 0.5000)  2.21
Mn (0.5000, 0.0000, 0.5000)  2.21
Ga (0.7072, 0.7848, 0.7741)  -0.05
Ga (0.2928, 0.2152, 0.2259)  -0.05
Ga (0.5187, 0.2152, 0.7741)  -0.05
Ga (0.4813, 0.7848, 0.2259)  -0.05
Ga (0.6565, 0.3322, 0.3517)  -0.04
Ga (0.3435, 0.6678, 0.6483)  -0.04
Ga (0.9918, 0.6678, 0.3517)  -0.04
Ga (0.0082, 0.3322, 0.6483)  -0.04
Ga (0.0000, 0.5000, 0.0000)  -0.05

=====

Across the entries above, V takes the values 17.69 16.60 16.01 A^3/atom, respectively.